# 1
DFT (PBE-GGA) results for crystalline Ca4Pa3PbN8 at its relaxed geometry.

abc: 7.2130 7.2130 17.0190
angles: 90.00 90.00 120.00
Space group R-3m (No. 166, hexagonal axes)
Symmetry-distinct sites (fractional):
Ca  0.0000  0.0000  0.0000
Ca  0.0000  0.5000  0.0000
Pa  0.0000  0.5000  0.5000
Pb  0.0000  0.0000  0.5000
N  0.0000  0.0000  0.2408
N  0.0389  0.5195  0.7615

E_form (uncorrected)   -19.20 eV per formula unit
DFT total energy   -7.8751 eV/atom
DOS at the Fermi energy   18.330 states/eV per cell


# 2
DFT (PBE-GGA) results for crystalline CaPa2PdN4 at its relaxed geometry.

abc: 3.671 11.804 11.852
angles: 90.00 90.00 90.00
Space group Cmcm (No. 63)
Symmetry-distinct sites (fractional):
Ca  0.000  0.063  0.250
Pa  0.000  0.366  0.067
Pd  0.000  0.238  0.750
N  0.000  0.000  0.000
N  0.000  0.249  0.580
N  0.000  0.433  0.250

E_form (uncorrected)   -9.76 eV per formula unit
DFT total energy   -8.6554 eV/atom


# 3
DFT (PBE-GGA) results for crystalline Ca4Pa3PdN8 at its relaxed geometry.

abc: 12.276 6.908 6.916
angles: 90.00 123.49 90.00
Space group C2/m (No. 12)
Symmetry-distinct sites (fractional):
Ca  0.000  0.000  0.000
Ca  0.000  0.500  0.000
Ca  0.250  0.250  0.500
Pa  0.000  0.000  0.500
Pa  0.250  0.250  0.000
Pd  0.000  0.500  0.500
N  0.020  0.233  0.754
N  0.230  0.000  0.191
N  0.238  0.000  0.754

E_form (uncorrected)   -19.47 eV per formula unit
DFT total energy   -7.9850 eV/atom
DOS at the Fermi energy   5.101 states/eV per cell


# 4
DFT (PBE-GGA) results for crystalline CaPa2PdN5 at its relaxed geometry.

abc: 6.598 6.598 11.772
angles: 90.00 90.00 90.00
Space group I4/mcm (No. 140)
Symmetry-distinct sites (fractional):
Ca  0.000  0.000  0.250
Pa  0.176  0.324  0.000
Pd  0.000  0.500  0.250
N  0.000  0.000  0.000
N  0.144  0.356  0.380

E_form (uncorrected)   -7.81 eV per formula unit
DFT total energy   -8.4028 eV/atom
DOS at the Fermi energy   24.879 states/eV per cell


# 5
DFT (PBE-GGA) results for crystalline CaPaPdN3 at its relaxed geometry.

abc: 6.851 3.779 8.833
angles: 90.00 106.45 90.00
Space group P2_1/m (No. 11)
Symmetry-distinct sites (fractional):
Ca  0.183  0.250  0.160
Pa  0.310  0.750  0.856
Pd  0.007  0.250  0.634
N  0.091  0.750  0.614
N  0.117  0.250  0.885
N  0.448  0.750  0.116

E_form (uncorrected)   -4.66 eV per formula unit
DFT total energy   -7.7205 eV/atom
DOS at the Fermi energy   0.728 states/eV per cell


# 6
DFT (PBE-GGA) results for crystalline Ca2PmPaN4 at its relaxed geometry.

abc: 6.103 3.592 6.176
angles: 90.00 109.57 90.00
Space group P2/m (No. 10)
Symmetry-distinct sites (fractional):
Ca  0.000  0.000  0.000
Ca  0.000  0.500  0.500
Pm  0.500  0.000  0.500
Pa  0.500  0.500  0.000
N  0.279  0.000  0.774
N  0.280  0.500  0.234

E_form (uncorrected)   -11.44 eV per formula unit
DFT total energy   -7.8737 eV/atom


# 7
DFT (PBE-GGA) results for crystalline Ca2Pm3PaN6 at its relaxed geometry.

abc: 6.197 10.709 6.191
angles: 90.00 109.54 90.00
Space group C2/m (No. 12)
Symmetry-distinct sites (fractional):
Ca  0.000  0.166  0.000
Pm  0.000  0.000  0.500
Pm  0.000  0.333  0.500
Pa  0.000  0.500  0.000
N  0.222  0.500  0.758
N  0.234  0.348  0.247

E_form (uncorrected)   -17.18 eV per formula unit
DFT total energy   -7.9073 eV/atom


# 8
DFT (PBE-GGA) results for crystalline CaPm3Pa2N6 at its relaxed geometry.

abc: 15.460 3.573 7.129
angles: 90.00 103.93 90.00
Space group C2/m (No. 12)
Symmetry-distinct sites (fractional):
Ca  0.000  0.000  0.000
Pm  0.000  0.000  0.500
Pm  0.165  0.500  0.836
Pa  0.164  0.500  0.328
N  0.015  0.500  0.262
N  0.167  0.000  0.107
N  0.171  0.000  0.566

E_form (uncorrected)   -18.16 eV per formula unit
DFT total energy   -8.6131 eV/atom
DOS at the Fermi energy   9.915 states/eV per cell


> E_form (uncorrected) of number 4 (CaPa2PdN5)?

-7.81 eV per formula unit